Density functional theory data (PBE+U) for a relaxed structure of Gd2MnNiO6.

Unit cell a=5.613 b=5.337 c=9.298 alpha=55.24 beta=90.00 gamma=90.00
Each line ends with the local moment (μB).
Sites, in units of the cell vectors:
Gd: 0.066 0.732 0.751  -6.92
Gd: 0.934 0.268 0.249  -6.92
Gd: 0.566 0.268 0.749  -6.92
Gd: 0.434 0.732 0.251  -6.92
Mn: 0.500 0.000 0.500  3.23
Mn: 0.000 0.000 0.000  3.23
Ni: 0.500 0.500 0.000  1.71
Ni: 0.000 0.500 0.500  1.71
O: 0.468 0.858 0.743  -0.01
O: 0.532 0.142 0.257  -0.01
O: 0.968 0.142 0.757  -0.01
O: 0.032 0.858 0.243  -0.01
O: 0.790 0.758 0.554  -0.01
O: 0.210 0.242 0.446  -0.01
O: 0.290 0.242 0.946  -0.01
O: 0.710 0.758 0.054  -0.01
O: 0.309 0.656 0.549  -0.01
O: 0.691 0.344 0.451  -0.01
O: 0.809 0.344 0.951  -0.01
O: 0.191 0.656 0.049  -0.01

Computed properties:
The calculation puts the electronic total energy at -9.221 eV/atom. The density comes out at 7.6 g/cm³.